# HSe GGA-PBE relaxed
# - M_tot (μB per formula unit) = 0.0
# - offset from the most stable computed form (meV per atom) = 6.9
data_HSe
_space_group_name_H-M_alt 'C 1 2 1'
_space_group_IT_number 5
_cell_length_a 7.532
_cell_length_b 5.795
_cell_length_c 5.391
_cell_angle_alpha 90.00
_cell_angle_beta 124.41
_cell_angle_gamma 90.00
loop_
_space_group_symop_operation_xyz
'x,y,z'
'-x,y,-z'
'x+1/2,y+1/2,z'
'-x+1/2,y+1/2,-z'
loop_
_atom_site_label
_atom_site_type_symbol
_atom_site_fract_x
_atom_site_fract_y
_atom_site_fract_z
H1 H 0.198 0.000 0.443
Se1 Se 0.034 0.192 0.307